Below is crystalline ZnFe2H28S4O30 at its relaxed geometry, with properties calculated at the PBE with a Hubbard U level.

a = 6.3537 Å, b = 6.5040 Å, c = 15.5029 Å
α = 94.28°, β = 90.34°, γ = 99.92°
With the nearest neighbours (Å) after each atom.
Sites, in units of the cell vectors:
Zn: 0.0000 0.0000 0.0000  6 O 2.10-2.14
Fe: 0.4023 0.6636 0.3232  6 O 1.97-2.09
Fe: 0.5977 0.3364 0.6768  6 O 1.97-2.09
H: 0.0139 0.2445 0.1577  1 O 0.99
H: 0.0364 0.6313 0.2368  1 O 1.00
H: 0.0974 0.8703 0.2779  1 O 1.01
H: 0.1742 0.7541 0.1038  1 O 0.98
H: 0.2043 0.6599 0.0072  1 O 0.99
H: 0.2082 0.7208 0.4816  1 O 1.00
H: 0.2419 0.1759 0.1396  1 O 0.99
H: 0.2522 0.4935 0.6127  1 O 1.00
H: 0.2754 0.9412 0.4401  1 O 1.01
H: 0.2806 0.0045 0.6809  1 O 1.00
H: 0.3033 0.3052 0.5483  1 O 1.00
H: 0.3298 0.2610 0.9397  1 O 0.99
H: 0.3771 0.0298 0.9136  1 O 0.98
H: 0.4659 0.9570 0.7429  1 O 1.00
H: 0.5341 0.0430 0.2571  1 O 1.00
H: 0.6229 0.9702 0.0864  1 O 0.98
H: 0.6702 0.7390 0.0603  1 O 0.99
H: 0.6967 0.6948 0.4517  1 O 1.00
H: 0.7194 0.9955 0.3191  1 O 1.00
H: 0.7246 0.0588 0.5599  1 O 1.01
H: 0.7478 0.5065 0.3873  1 O 1.00
H: 0.7581 0.8241 0.8604  1 O 0.99
H: 0.7918 0.2792 0.5184  1 O 1.00
H: 0.7957 0.3401 0.9928  1 O 0.99
H: 0.8258 0.2459 0.8962  1 O 0.98
H: 0.9026 0.1297 0.7221  1 O 1.01
H: 0.9636 0.3687 0.7632  1 O 1.00
H: 0.9861 0.7555 0.8423  1 O 0.99
S: 0.0843 0.2398 0.3863  4 O 1.48-1.51
S: 0.3613 0.5925 0.8343  4 O 1.48-1.50
S: 0.6387 0.4075 0.1657  4 O 1.48-1.50
S: 0.9157 0.7602 0.6137  4 O 1.48-1.51
O: 0.0141 0.9464 0.6705  1 S 1.49, 1 H 1.65
O: 0.0831 0.6510 0.5756  1 S 1.48
O: 0.0889 0.1477 0.1227  2 H 0.99
O: 0.1137 0.7359 0.0451  2 H 0.98-0.99
O: 0.1494 0.5798 0.7911  1 S 1.49
O: 0.1590 0.7497 0.2498  2 H 1.00-1.01
O: 0.2172 0.1751 0.4554  1 S 1.49, 2 H 1.63-1.65
O: 0.2279 0.3840 0.3312  1 S 1.51
O: 0.2946 0.7901 0.4349  2 H 1.00-1.01
O: 0.3120 0.1156 0.9569  2 H 0.98-0.99
O: 0.3397 0.5344 0.9244  1 S 1.48
O: 0.3414 0.3819 0.6065  2 H 1.00
O: 0.4389 0.0367 0.6927  2 H 1.00
O: 0.4823 0.4396 0.7878  1 S 1.50
O: 0.4826 0.8106 0.8317  1 S 1.50
O: 0.5174 0.1894 0.1683  1 S 1.50
O: 0.5177 0.5604 0.2122  1 S 1.50
O: 0.5611 0.9633 0.3073  2 H 1.00
O: 0.6586 0.6181 0.3935  2 H 1.00
O: 0.6603 0.4656 0.0756  1 S 1.48
O: 0.6880 0.8844 0.0431  2 H 0.98-0.99
O: 0.7054 0.2099 0.5651  2 H 1.00-1.01
O: 0.7721 0.6160 0.6688  1 S 1.51
O: 0.7828 0.8249 0.5446  1 S 1.49, 2 H 1.63-1.65
O: 0.8410 0.2503 0.7502  2 H 1.00-1.01
O: 0.8506 0.4202 0.2089  1 S 1.49
O: 0.8863 0.2641 0.9549  2 H 0.98-0.99
O: 0.9111 0.8523 0.8773  2 H 0.99
O: 0.9169 0.3490 0.4244  1 S 1.48
O: 0.9859 0.0536 0.3295  1 S 1.49, 1 H 1.65

Energy, eV per atom: -5.369
SG: No. 2
DOS at the Fermi energy, states/eV/atom: 0.0000